Compound: La4Mg2H
Source: Alexandria
Functional: PBE
Structure: relaxed

Summary:
- raw total energy (eV/atom) = -3.7701
- SG = No. 139

Cell lengths 5.047, 5.047, 9.085 Å; angles 73.87, 73.87, 90.00 degrees
Sites, in units of the cell vectors:
H 0.000 0.000 0.000
Mg 0.632 0.632 0.737
Mg 0.368 0.368 0.263
La 0.829 0.829 0.343
La 0.171 0.171 0.657
La 0.000 0.500 0.000
La 0.500 0.000 0.000